[1]
A plane-wave DFT calculation with PBE-GGA was carried out for a relaxed structure of ScV2FeRh.

Cell and atoms, written as POSCAR:
```
ScV2FeRh
1.0
4.223 0.000 0.000
0.000 4.223 0.000
0.000 0.000 4.760
Sc V Fe Rh
1 2 1 1
direct
0.000 0.000 0.000
0.000 0.500 0.500
0.500 0.000 0.500
0.000 0.000 0.500
0.500 0.500 0.000
```

Values from the calculation:
- energy relative to the elements (eV/atom) = 0.49
- total magnetic moment (μB/cell) = 1.78

***

[2]
A plane-wave DFT calculation with PBE-GGA was carried out for a relaxed structure of HoPaNi6.

Cell and atoms, written as POSCAR:
```
HoPaNi6
1.0
4.185 0.000 0.000
0.000 5.461 0.000
0.000 0.000 5.102
Ho Pa Ni
1 1 6
direct
0.000 0.000 0.000
0.500 0.500 0.282
0.000 0.238 0.497
0.000 0.500 0.903
0.000 0.762 0.497
0.500 0.000 0.389
0.500 0.277 0.780
0.500 0.723 0.780
```

Values from the calculation:
- energy relative to the elements (eV/atom) = -0.39
- total magnetic moment (μB/cell) = 0.00

***

[3]
A plane-wave DFT calculation with PBE-GGA was carried out for a relaxed structure of TaGaRu3.

Cell and atoms, written as POSCAR:
```
TaGaRu3
1.0
4.703 0.000 0.000
0.000 4.703 0.000
0.000 0.000 4.703
Ta Ga Ru
1 1 3
direct
0.000 0.000 0.000
0.500 0.500 0.500
0.000 0.000 0.500
0.000 0.500 0.000
0.500 0.000 0.000
```

Values from the calculation:
- energy relative to the lowest polymorph listed for this composition (meV/atom) = 496.0
- energy relative to the elements (eV/atom) = 1.44
- total magnetic moment (μB/cell) = 2.06

***

[4]
A plane-wave DFT calculation with PBE-GGA was carried out for a relaxed structure of RbZnIn2Rh.

Cell and atoms, written as POSCAR:
```
RbZnIn2Rh
1.0
5.197 0.000 0.000
0.000 5.197 0.000
0.000 0.000 5.105
Rb Zn In Rh
1 1 2 1
direct
0.000 0.000 0.000
0.500 0.500 0.000
0.000 0.500 0.500
0.500 0.000 0.500
0.500 0.500 0.500
```

Values from the calculation:
- energy relative to the elements (eV/atom) = -0.20
- total magnetic moment (μB/cell) = 0.00

***

[5]
A plane-wave DFT calculation with PBE-GGA was carried out for a relaxed structure of Na6GaHg12.

Cell and atoms, written as POSCAR:
```
Na6GaHg12
1.0
5.875 3.392 4.175
-5.875 3.392 4.175
0.000 -6.784 4.175
Na Ga Hg
6 1 12
direct
0.200 0.761 0.371
0.239 0.629 0.800
0.371 0.200 0.761
0.629 0.800 0.239
0.761 0.371 0.200
0.800 0.239 0.629
0.500 0.500 0.500
0.030 0.947 0.707
0.053 0.293 0.970
0.141 0.379 0.469
0.293 0.970 0.053
0.379 0.469 0.141
0.469 0.141 0.379
0.531 0.859 0.621
0.621 0.531 0.859
0.707 0.030 0.947
0.859 0.621 0.531
0.947 0.707 0.030
0.970 0.053 0.293
```

Values from the calculation:
- energy relative to the elements (eV/atom) = -0.18
- total magnetic moment (μB/cell) = 0.00

***

[6]
A plane-wave DFT calculation with PBE-GGA was carried out for a relaxed structure of Sn6Pb12Au.

Cell and atoms, written as POSCAR:
```
Sn6Pb12Au
1.0
5.218 3.013 6.066
-5.218 3.013 6.066
0.000 -6.026 6.066
Sn Pb Au
6 12 1
direct
0.280 0.280 0.631
0.280 0.631 0.280
0.369 0.720 0.720
0.631 0.280 0.280
0.720 0.369 0.720
0.720 0.720 0.369
0.019 0.365 0.365
0.020 0.020 0.688
0.020 0.688 0.020
0.312 0.980 0.980
0.365 0.019 0.365
0.365 0.365 0.019
0.635 0.635 0.981
0.635 0.981 0.635
0.688 0.020 0.020
0.980 0.312 0.980
0.980 0.980 0.312
0.981 0.635 0.635
0.500 0.500 0.500
```

Values from the calculation:
- energy relative to the elements (eV/atom) = 0.02
- total magnetic moment (μB/cell) = 0.00

***

[7]
A plane-wave DFT calculation with PBE-GGA was carried out for a relaxed structure of Sr2ZnGa4Ag3.

Cell and atoms, written as POSCAR:
```
Sr2ZnGa4Ag3
1.0
4.465 0.000 0.000
0.000 4.465 0.000
0.000 0.000 11.084
Sr Zn Ga Ag
2 1 4 3
direct
0.000 0.500 0.248
0.500 0.000 0.752
0.500 0.500 0.000
0.000 0.000 0.500
0.000 0.500 0.872
0.500 0.000 0.128
0.500 0.500 0.500
0.000 0.000 0.000
0.000 0.500 0.635
0.500 0.000 0.365
```

Values from the calculation:
- energy relative to the elements (eV/atom) = -0.31
- total magnetic moment (μB/cell) = 0.00

***

[8]
A plane-wave DFT calculation with PBE-GGA was carried out for a relaxed structure of YCrBr2.

Cell and atoms, written as POSCAR:
```
YCrBr2
1.0
1.802 -3.296 0.000
1.802 3.296 0.000
0.000 0.000 8.982
Y Cr Br
1 1 2
direct
0.000 0.000 0.000
0.000 0.000 0.500
0.500 0.500 0.273
0.500 0.500 0.727
```

Values from the calculation:
- energy relative to the lowest polymorph listed for this composition (meV/atom) = 272.9
- uncorrected formation energy (meV per atom) = -307
- total magnetic moment (μB/cell) = 5.03

***

[9]
A plane-wave DFT calculation with PBE-GGA was carried out for a relaxed structure of Nd5CdGa2.

Cell and atoms, written as POSCAR:
```
Nd5CdGa2
1.0
-3.519 3.519 4.476
3.519 -3.519 4.476
3.519 3.519 -4.476
Nd Cd Ga
5 1 2
direct
0.000 0.000 0.000
0.000 0.000 0.500
0.000 0.500 0.000
0.500 0.000 0.000
0.500 0.500 0.500
0.500 0.500 0.000
0.000 0.500 0.500
0.500 0.000 0.500
```

Values from the calculation:
- energy relative to the lowest polymorph listed for this composition (meV/atom) = 73.9
- energy relative to the elements (eV/atom) = -0.29
- total magnetic moment (μB/cell) = 0.00

***

[10]
A plane-wave DFT calculation with PBE-GGA was carried out for a relaxed structure of SrZrTa2.

Cell and atoms, written as POSCAR:
```
SrZrTa2
1.0
-2.540 2.540 3.507
2.540 -2.540 3.507
2.540 2.540 -3.507
Sr Zr Ta
1 1 2
direct
0.000 0.000 0.000
0.750 0.250 0.500
0.250 0.750 0.500
0.500 0.500 0.000
```

Values from the calculation:
- energy relative to the lowest polymorph listed for this composition (meV/atom) = 435.6
- energy relative to the elements (eV/atom) = 0.85
- total magnetic moment (μB/cell) = 0.00

***

[11]
A plane-wave DFT calculation with PBE-GGA was carried out for a relaxed structure of Tb3YHo3.

Cell and atoms, written as POSCAR:
```
Tb3YHo3
1.0
9.564 0.000 0.000
-4.782 8.283 0.000
0.000 0.000 5.654
Tb Y Ho
6 2 6
direct
0.046 0.808 0.250
0.192 0.238 0.250
0.238 0.046 0.750
0.762 0.954 0.250
0.808 0.762 0.750
0.954 0.192 0.750
0.333 0.667 0.250
0.667 0.333 0.750
0.094 0.619 0.750
0.381 0.475 0.750
0.475 0.094 0.250
0.525 0.906 0.750
0.619 0.525 0.250
0.906 0.381 0.250
```

Values from the calculation:
- energy relative to the lowest polymorph listed for this composition (meV/atom) = 0.0
- energy relative to the elements (eV/atom) = 0.01
- total magnetic moment (μB/cell) = 0.01

***

[12]
A plane-wave DFT calculation with PBE-GGA was carried out for a relaxed structure of Sr2CuNi3P4.

Cell and atoms, written as POSCAR:
```
Sr2CuNi3P4
1.0
4.110 0.000 0.000
0.000 4.110 0.000
0.000 0.000 9.456
Sr Cu Ni P
2 1 3 4
direct
0.000 0.500 0.247
0.500 0.000 0.753
0.000 0.000 0.500
0.000 0.500 0.889
0.500 0.000 0.111
0.500 0.500 0.500
0.000 0.000 0.000
0.000 0.500 0.633
0.500 0.000 0.367
0.500 0.500 0.000
```

Values from the calculation:
- energy relative to the elements (eV/atom) = -0.70
- total magnetic moment (μB/cell) = 0.00

***

Question: What is the total magnetic moment in the tenth record?
Answer: 0.00 μB/cell

***

Copy entry 3 word for word.
A plane-wave DFT calculation with PBE-GGA was carried out for a relaxed structure of TaGaRu3.

Cell and atoms, written as POSCAR:
```
TaGaRu3
1.0
4.703 0.000 0.000
0.000 4.703 0.000
0.000 0.000 4.703
Ta Ga Ru
1 1 3
direct
0.000 0.000 0.000
0.500 0.500 0.500
0.000 0.000 0.500
0.000 0.500 0.000
0.500 0.000 0.000
```

Values from the calculation:
- energy relative to the lowest polymorph listed for this composition (meV/atom) = 496.0
- energy relative to the elements (eV/atom) = 1.44
- total magnetic moment (μB/cell) = 2.06